Entry from the Alexandria database: crystalline TcBi2CF at its relaxed geometry (GGA-PBE).

Summary:
V = 112.0 Å³ per cell
Formation energy without anion corrections = 5.1 eV per formula unit
DOS at the Fermi energy = 2.04 states/eV/cell

abc: 5.3032 5.3032 3.9814
angles: 90.00 90.00 90.00
Space group P4/mmm (No. 123)
Unique sites:
Tc  0.0000  0.0000  0.0000 x1
Bi  0.0000  0.5000  0.0000 x2
C  0.5000  0.5000  0.5000 x1
F  0.0000  0.0000  0.5000 x1